[1]
Computed, not measured: a relaxed La2CdCo crystal at the PBE level of DFT.

a = 5.676 Å, b = 5.676 Å, c = 5.676 Å
α = 137.14°, β = 119.41°, γ = 77.05°
Element x y z (fractional)
La: 0.448 0.448 0.000
La: 0.052 0.052 0.000
Co: 0.250 0.750 0.500
Cd: 0.750 0.250 0.500

Output
Energy relative to the elements = -56 meV/atom
DOS at the Fermi energy = 0.77 states/eV/atom
E = -4.525 eV/atom


[2]
Computed, not measured: a relaxed CsSbSeBr2 crystal at the PBE level of DFT.

a = 5.854 Å, b = 5.854 Å, c = 5.376 Å
α = 90.00°, β = 90.00°, γ = 90.00°
Element x y z (fractional)
Br: 0.500 0.000 0.000
Br: 0.000 0.500 0.000
Cs: 0.500 0.500 0.500
Sb: 0.000 0.000 0.000
Se: 0.000 0.000 0.500

Output
DOS at the Fermi energy = 0.27 states/eV/atom
E = -3.208 eV/atom
Formation energy from raw total energies = -847 meV per atom


[3]
Computed, not measured: a relaxed Y2HoGe3Pt4 crystal at the PBE level of DFT.

a = 4.202 Å, b = 4.202 Å, c = 11.387 Å
α = 90.00°, β = 90.00°, γ = 90.00°
Element x y z (fractional)
Y: 0.500 0.000 0.220
Y: 0.000 0.500 0.780
Pt: 0.500 0.000 0.658
Pt: 0.000 0.000 0.000
Pt: 0.500 0.500 0.000
Pt: 0.000 0.500 0.342
Ho: 0.500 0.500 0.500
Ge: 0.000 0.500 0.128
Ge: 0.500 0.000 0.872
Ge: 0.000 0.000 0.500

Output
Energy relative to the elements = -951 meV/atom
DOS at the Fermi energy = 0.79 states/eV/atom
E = -6.503 eV/atom


[4]
Computed, not measured: a relaxed Ce2ThBi crystal at the PBE level of DFT.

a = 5.511 Å, b = 5.511 Å, c = 5.511 Å
α = 60.00°, β = 60.00°, γ = 60.00°
Element x y z (fractional)
Ce: 0.750 0.750 0.750
Ce: 0.250 0.250 0.250
Bi: 0.000 0.000 0.000
Th: 0.500 0.500 0.500

Output
Energy relative to the elements = -122 meV/atom
DOS at the Fermi energy = 3.01 states/eV/atom
E = -5.914 eV/atom


> Look up the E of the third one.

-6.503 eV/atom


What did the third record say?
Computed, not measured: a relaxed Y2HoGe3Pt4 crystal at the PBE level of DFT.

a = 4.202 Å, b = 4.202 Å, c = 11.387 Å
α = 90.00°, β = 90.00°, γ = 90.00°
Element x y z (fractional)
Y: 0.500 0.000 0.220
Y: 0.000 0.500 0.780
Pt: 0.500 0.000 0.658
Pt: 0.000 0.000 0.000
Pt: 0.500 0.500 0.000
Pt: 0.000 0.500 0.342
Ho: 0.500 0.500 0.500
Ge: 0.000 0.500 0.128
Ge: 0.500 0.000 0.872
Ge: 0.000 0.000 0.500

Output
Energy relative to the elements = -951 meV/atom
DOS at the Fermi energy = 0.79 states/eV/atom
E = -6.503 eV/atom


> Look up the DOS at the Fermi energy of the third one.

0.79 states/eV/atom